a.
This record from Alexandria via LeMat-Bulk describes LiScTa after structural relaxation. The functional is PBEsol.

Output
Fermi-level density of states ... 1.701 states/eV/atom
Space-group type ... F-43m, No. 216

Cell lengths 4.5584, 4.5584, 4.5584 Å; angles 60.00, 60.00, 60.00 degrees
With the nearest neighbours (Å) after each atom.
Fractional positions:
Sc1 0.2500 0.2500 0.2500  4 Ta 2.79, 4 Li 2.79
Ta1 0.0000 0.0000 0.0000  4 Sc 2.79
Li1 0.5000 0.5000 0.5000  4 Sc 2.79

---

b.
This record from Alexandria via LeMat-Bulk describes LiScTa after structural relaxation. The functional is PBEsol.

Output
Fermi-level density of states ... 0.814 states/eV/atom
Space-group type ... I4mm, No. 107

Cell lengths 2.8667, 2.8667, 7.5221 Å; angles 100.98, 100.98, 90.00 degrees
With the nearest neighbours (Å) after each atom.
Fractional positions:
Ta1 0.3261 0.3261 0.6521  4 Ta 2.87, 4 Sc 2.92, 4 Li 3.15
Li1 0.9924 0.9924 0.9849  4 Li 2.87, 4 Ta 3.15
Sc1 0.6815 0.6815 0.3630  4 Sc 2.87, 4 Ta 2.92

---

Which of them is the most stable? Correct choice: b.

---

a.
This record from Alexandria via LeMat-Bulk describes LiSc2Tc after structural relaxation. The functional is PBEsol.

Output
Fermi-level density of states ... 0.869 states/eV/atom
Space-group type ... F-43m, No. 216

Cell lengths 4.5771, 4.5771, 4.5771 Å; angles 60.00, 60.00, 60.00 degrees
With the nearest neighbours (Å) after each atom.
Fractional positions:
Tc1 0.2500 0.2500 0.2500  4 Li 2.80, 4 Sc 2.80
Sc1 0.0000 0.0000 0.0000  4 Sc 2.80, 4 Tc 2.80
Sc2 0.7500 0.7500 0.7500  4 Li 2.80, 4 Sc 2.80
Li1 0.5000 0.5000 0.5000  4 Tc 2.80, 4 Sc 2.80

---

b.
This record from Alexandria via LeMat-Bulk describes LiSc2Tc after structural relaxation. The functional is PBEsol.

Output
Fermi-level density of states ... 0.875 states/eV/atom
Space-group type ... P2/m, No. 10

Cell lengths 3.2420, 3.2424, 7.4320 Å; angles 90.00, 90.14, 90.00 degrees
With the nearest neighbours (Å) after each atom.
Fractional positions:
Tc1 0.5000 0.5000 0.0000  8 Sc 2.73-2.74
Sc1 0.9989 0.0000 0.2006  4 Tc 2.73-2.74, 1 Sc 2.98
Sc2 0.0011 0.0000 0.7994  4 Tc 2.73-2.74, 1 Sc 2.98
Li1 0.5000 0.5000 0.5000  8 Sc 3.19-3.20, 4 Li 3.24

---

c.
This record from Alexandria via LeMat-Bulk describes LiSc2Tc after structural relaxation. The functional is PBEsol.

Output
Fermi-level density of states ... 0.666 states/eV/atom
Space-group type ... Fm-3m, No. 225

Cell lengths 4.5955, 4.5955, 4.5955 Å; angles 60.00, 60.00, 60.00 degrees
With the nearest neighbours (Å) after each atom.
Fractional positions:
Tc1 0.5000 0.5000 0.5000  8 Sc 2.81
Li1 0.0000 0.0000 0.0000  8 Sc 2.81
Sc1 0.7500 0.7500 0.7500  4 Tc 2.81, 4 Li 2.81
Sc2 0.2500 0.2500 0.2500  4 Li 2.81, 4 Tc 2.81

---

Which of them is the most stable? Correct choice: b.

---

a.
This record from Alexandria via LeMat-Bulk describes LiScTl2 after structural relaxation. The functional is PBEsol.

Output
Fermi-level density of states ... 0.519 states/eV/atom
Space-group type ... P4/mmm, No. 123

Cell lengths 3.5516, 4.9080, 4.9080 Å; angles 90.00, 90.00, 90.00 degrees
With the nearest neighbours (Å) after each atom.
Fractional positions:
Tl1 0.0000 0.0000 0.5000  4 Sc 3.03, 4 Li 3.03
Tl2 0.0000 0.5000 0.0000  4 Li 3.03, 4 Sc 3.03
Sc1 0.5000 0.0000 0.0000  8 Tl 3.03
Li1 0.5000 0.5000 0.5000  8 Tl 3.03

---

b.
This record from Alexandria via LeMat-Bulk describes LiScTl2 after structural relaxation. The functional is PBEsol.

Output
Fermi-level density of states ... 0.679 states/eV/atom
Space-group type ... F-43m, No. 216

Cell lengths 5.0224, 5.0224, 5.0224 Å; angles 60.00, 60.00, 60.00 degrees
With the nearest neighbours (Å) after each atom.
Fractional positions:
Tl1 0.0000 0.0000 0.0000  4 Tl 3.08, 4 Sc 3.08
Tl2 0.7500 0.7500 0.7500  4 Li 3.08, 4 Tl 3.08
Li1 0.5000 0.5000 0.5000  4 Sc 3.08, 4 Tl 3.08
Sc1 0.2500 0.2500 0.2500  4 Tl 3.08, 4 Li 3.08

---

Which of them is the most stable? Correct choice: a.

---

a.
This record from Alexandria via LeMat-Bulk describes LiScTl2 after structural relaxation. The functional is PBEsol.

Output
Fermi-level density of states ... 0.269 states/eV/atom
Space-group type ... Fm-3m, No. 225

Cell lengths 4.9347, 4.9347, 4.9347 Å; angles 60.00, 60.00, 60.00 degrees
With the nearest neighbours (Å) after each atom.
Fractional positions:
Tl1 0.2500 0.2500 0.2500  4 Li 3.02, 4 Sc 3.02
Tl2 0.7500 0.7500 0.7500  4 Li 3.02, 4 Sc 3.02
Sc1 0.5000 0.5000 0.5000  8 Tl 3.02
Li1 0.0000 0.0000 0.0000  8 Tl 3.02

---

b.
This record from Alexandria via LeMat-Bulk describes LiScTl2 after structural relaxation. The functional is PBEsol.

Output
Fermi-level density of states ... 0.810 states/eV/atom
Space-group type ... Cm, No. 8

Cell lengths 3.2643, 5.1648, 5.8634 Å; angles 107.76, 106.16, 90.00 degrees
With the nearest neighbours (Å) after each atom.
Fractional positions:
Sc1 0.7428 0.1578 0.4855  7 Tl 3.00-3.13, 2 Sc 3.26, 1 Li 3.30
Li1 0.5051 0.5861 0.0102  7 Tl 2.98-3.16, 2 Li 3.26, 1 Sc 3.30
Tl1 0.9987 0.0964 0.9974  4 Li 2.99-3.12, 3 Sc 3.00-3.13, 2 Tl 3.26
Tl2 0.2535 0.6597 0.5069  3 Li 2.98-3.16, 4 Sc 3.03-3.08, 2 Tl 3.26

---

Which of them is the most stable? Correct choice: a.

---

a.
This record from Alexandria via LeMat-Bulk describes LiSc2W after structural relaxation. The functional is PBEsol.

Output
Fermi-level density of states ... 1.043 states/eV/atom
Space-group type ... Cmm2, No. 35

Cell lengths 2.8228, 2.8228, 9.9229 Å; angles 90.00, 90.00, 106.93 degrees
With the nearest neighbours (Å) after each atom.
Fractional positions:
Sc1 0.5000 0.5000 0.7229  2 W 2.78, 4 Sc 2.82
Sc2 0.0000 0.0000 0.0049  4 Sc 2.82, 2 Li 3.14
Li1 0.5000 0.5000 0.2718  2 W 2.82, 4 Li 2.82, 2 Sc 3.14
W1 0.0000 0.0000 0.5003  2 Sc 2.78, 2 Li 2.82, 4 W 2.82

---

b.
This record from Alexandria via LeMat-Bulk describes LiSc2W after structural relaxation. The functional is PBEsol.

Output
Fermi-level density of states ... 0.874 states/eV/atom
Space-group type ... Cmmm, No. 65

Cell lengths 2.9480, 5.0342, 5.0342 Å; angles 97.88, 90.00, 90.00 degrees
With the nearest neighbours (Å) after each atom.
Fractional positions:
Li1 0.5000 0.5000 0.5000  8 Sc 2.92, 2 Li 2.95
Sc1 0.0000 0.5000 0.0000  4 W 2.92, 4 Li 2.92, 2 Sc 2.95
Sc2 0.0000 0.0000 0.5000  4 Li 2.92, 4 W 2.92, 2 Sc 2.95
W1 0.5000 0.0000 0.0000  8 Sc 2.92, 2 W 2.95

---

Which of them is the most stable? Correct choice: b.

---

a.
This record from Alexandria via LeMat-Bulk describes LiScW2 after structural relaxation. The functional is PBEsol.

Output
Fermi-level density of states ... 0.728 states/eV/atom
Space-group type ... P4mm, No. 99

Cell lengths 2.6823, 2.6823, 9.4684 Å; angles 90.00, 90.00, 90.00 degrees
With the nearest neighbours (Å) after each atom.
Fractional positions:
W1 0.0000 0.0000 0.0064  8 W 2.68-2.96, 4 Sc 2.98
W2 0.5000 0.5000 0.2469  8 W 2.68-2.96, 4 Li 2.93
Sc1 0.5000 0.5000 0.7641  4 Sc 2.68, 4 W 2.98
Li1 0.0000 0.0000 0.4826  4 Li 2.68, 4 W 2.93

---

b.
This record from Alexandria via LeMat-Bulk describes LiScW2 after structural relaxation. The functional is PBEsol.

Output
Fermi-level density of states ... 1.164 states/eV/atom
Space-group type ... Fm-3m, No. 225

Cell lengths 4.4562, 4.4562, 4.4562 Å; angles 60.00, 60.00, 60.00 degrees
With the nearest neighbours (Å) after each atom.
Fractional positions:
W1 0.2500 0.2500 0.2500  4 Li 2.73, 4 Sc 2.73
W2 0.7500 0.7500 0.7500  4 Li 2.73, 4 Sc 2.73
Li1 0.0000 0.0000 0.0000  8 W 2.73
Sc1 0.5000 0.5000 0.5000  8 W 2.73

---

Which of them is the most stable? Correct choice: a.

---

a.
This record from Alexandria via LeMat-Bulk describes LiYSc2 after structural relaxation. The functional is PBEsol.

Output
Fermi-level density of states ... 1.363 states/eV/atom
Space-group type ... Pmmm, No. 47

Cell lengths 3.5775, 5.1794, 5.2142 Å; angles 90.00, 90.00, 90.00 degrees
With the nearest neighbours (Å) after each atom.
Fractional positions:
Sc1 0.5000 0.5000 0.0000  4 Sc 3.15, 4 Li 3.16
Sc2 0.0000 0.0000 0.0000  4 Sc 3.15, 4 Y 3.16
Y1 0.5000 0.0000 0.5000  4 Li 3.15, 4 Sc 3.16
Li1 0.0000 0.5000 0.5000  4 Y 3.15, 4 Sc 3.16

---

b.
This record from Alexandria via LeMat-Bulk describes LiYSc2 after structural relaxation. The functional is PBEsol.

Output
Fermi-level density of states ... 1.386 states/eV/atom
Space-group type ... R-3m, No. 166

Cell lengths 3.2380, 3.2380, 11.6111 Å; angles 81.98, 81.98, 60.00 degrees
With the nearest neighbours (Å) after each atom.
Fractional positions:
Sc1 0.0878 0.0878 0.7366  1 Li 3.02, 6 Sc 3.24, 3 Y 3.29
Sc2 0.9122 0.9122 0.2634  1 Li 3.02, 6 Sc 3.24, 3 Y 3.29
Y1 0.5000 0.5000 0.5000  6 Y 3.24, 6 Sc 3.29
Li1 0.0000 0.0000 0.0000  2 Sc 3.02, 6 Li 3.24

---

c.
This record from Alexandria via LeMat-Bulk describes LiYSc2 after structural relaxation. The functional is PBEsol.

Output
Fermi-level density of states ... 1.536 states/eV/atom
Space-group type ... Immm, No. 71

Cell lengths 3.4828, 5.1364, 6.1596 Å; angles 114.64, 106.42, 90.00 degrees
With the nearest neighbours (Å) after each atom.
Fractional positions:
Li1 0.5000 0.0000 0.0000  4 Sc 2.96, 4 Y 3.10
Sc1 0.7747 0.7747 0.5493  2 Li 2.96, 4 Sc 3.15
Sc2 0.2253 0.2253 0.4507  2 Li 2.96, 4 Sc 3.15
Y1 0.0000 0.5000 0.0000  4 Li 3.10, 4 Sc 3.40

---

Which of them is the most stable? Correct choice: c.

---

a.
This record from Alexandria via LeMat-Bulk describes Li2ZrSc after structural relaxation. The functional is PBEsol.

Output
Fermi-level density of states ... 1.139 states/eV/atom
Space-group type ... P2/m, No. 10

Cell lengths 2.8768, 5.3043, 5.4630 Å; angles 90.00, 95.33, 90.00 degrees
With the nearest neighbours (Å) after each atom.
Fractional positions:
Sc1 0.5000 0.5000 0.0000  2 Sc 2.88, 4 Zr 2.97-3.20, 4 Li 3.09
Zr1 0.0000 0.5000 0.5000  2 Zr 2.88, 4 Sc 2.97-3.20, 4 Li 3.11
Li1 0.2812 0.0000 0.2554  5 Li 2.85-3.17, 2 Sc 3.09, 2 Zr 3.11
Li2 0.7188 0.0000 0.7446  5 Li 2.85-3.17, 2 Sc 3.09, 2 Zr 3.11

---

b.
This record from Alexandria via LeMat-Bulk describes Li2ZrSc after structural relaxation. The functional is PBEsol.

Output
Fermi-level density of states ... 0.947 states/eV/atom
Space-group type ... Pmmm, No. 47

Cell lengths 2.8659, 4.7641, 5.9063 Å; angles 90.00, 90.00, 90.00 degrees
With the nearest neighbours (Å) after each atom.
Fractional positions:
Li1 0.0000 0.0000 0.2543  4 Li 2.87-3.00, 4 Zr 3.14, 4 Sc 3.16
Li2 0.0000 0.0000 0.7457  4 Li 2.87-3.00, 4 Zr 3.14, 4 Sc 3.16
Sc1 0.5000 0.5000 0.0000  2 Sc 2.87, 2 Zr 2.95, 8 Li 3.16
Zr1 0.5000 0.5000 0.5000  2 Zr 2.87, 2 Sc 2.95, 8 Li 3.14

---

c.
This record from Alexandria via LeMat-Bulk describes Li2ZrSc after structural relaxation. The functional is PBEsol.

Output
Fermi-level density of states ... 0.941 states/eV/atom
Space-group type ... Pm, No. 6

Cell lengths 2.9179, 4.6953, 6.1079 Å; angles 90.00, 103.83, 90.00 degrees
With the nearest neighbours (Å) after each atom.
Fractional positions:
Sc1 0.9380 0.0000 0.5006  2 Sc 2.92, 5 Li 2.95-3.18, 4 Zr 3.13-3.15
Li1 0.1623 0.0000 0.9980  4 Li 2.78-2.92, 1 Sc 2.95, 2 Zr 3.10
Li2 0.3420 0.5000 0.2484  4 Li 2.78-2.92, 1 Zr 2.99, 2 Sc 3.10
Zr1 0.5577 0.5000 0.7529  2 Zr 2.92, 6 Li 2.99-3.24, 4 Sc 3.13-3.15

---

Which of them is the most stable? Correct choice: c.